BeNb3Cd at its PBEsol-relaxed geometry. Source: the Alexandria database, functional meta-GGA SCAN.

V = 119 Å³/cell
space group = Pm-3m (221)
ΔE_f = 2.26 eV/atom

Lattice parameters (Å, degrees): 4.9127 4.9127 4.9127 90.00 90.00 90.00
With the nearest neighbours (Å) after each atom.
Positions (direct):
Be  0.5000  0.5000  0.5000  12 Nb 3.47
Nb  0.0000  0.5000  0.0000  2 Cd 2.46
Nb  0.0000  0.0000  0.5000  2 Cd 2.46
Nb  0.5000  0.0000  0.0000  2 Cd 2.46
Cd  0.0000  0.0000  0.0000  6 Nb 2.46



BeNbCd3 at its PBEsol-relaxed geometry. Source: the Alexandria database, functional meta-GGA SCAN.

V = 90 Å³/cell
space group = Pm-3m (221)
ΔE_f = 0.68 eV/atom

Lattice parameters (Å, degrees): 4.4853 4.4853 4.4853 90.00 90.00 90.00
With the nearest neighbours (Å) after each atom.
Positions (direct):
Be  0.0000  0.0000  0.0000  6 Cd 2.24
Nb  0.5000  0.5000  0.5000  12 Cd 3.17
Cd  0.0000  0.5000  0.0000  2 Be 2.24
Cd  0.0000  0.0000  0.5000  2 Be 2.24
Cd  0.5000  0.0000  0.0000  2 Be 2.24



BeNb2ZnCd at its PBEsol-relaxed geometry. Source: the Alexandria database, functional meta-GGA SCAN.

V = 84 Å³/cell
space group = P4/mmm (123)
ΔE_f = 0.53 eV/atom

Lattice parameters (Å, degrees): 4.3515 4.3997 4.3997 90.00 90.00 90.00
With the nearest neighbours (Å) after each atom.
Positions (direct):
Be  0.0000  0.0000  0.0000  2 Cd 2.18, 4 Nb 2.20
Nb  0.0000  0.0000  0.5000  2 Be 2.20
Nb  0.0000  0.5000  0.0000  2 Be 2.20
Zn  0.5000  0.5000  0.5000  8 Nb 3.09, 4 Cd 3.11
Cd  0.5000  0.0000  0.0000  2 Be 2.18



Be2CdNi at its PBEsol-relaxed geometry. Source: the Alexandria database, functional meta-GGA SCAN.

V = 45 Å³/cell
space group = P4/mmm (123)
ΔE_f = -0.11 eV/atom

Lattice parameters (Å, degrees): 2.8075 2.8075 5.7554 90.00 90.00 90.00
With the nearest neighbours (Å) after each atom.
Positions (direct):
Ni  0.5000  0.5000  0.5000  8 Be 2.26
Be  0.0000  0.0000  0.6866  1 Be 2.15, 4 Ni 2.26
Be  0.0000  0.0000  0.3134  1 Be 2.15, 4 Ni 2.26
Cd  0.5000  0.5000  0.0000  8 Be 2.68, 4 Cd 2.81, 2 Ni 2.88



Which formula does entry 3 have? BeNb2ZnCd